This record from Alexandria describes LaNbCdAu2 after structural relaxation. The functional is PBE.

abc: 5.3022 5.3022 5.6398
angles: 90.00 90.00 90.00
Fractional positions:
La 0.0000 0.0000 0.0000
Nb 0.5000 0.5000 0.5000
Cd 0.0000 0.0000 0.5000
Au 0.0000 0.5000 0.0000
Au 0.5000 0.0000 0.0000

Fermi-level density of states = 4.61 states/eV/f.u.
SG = P4/mmm, No. 123
magnetic moment = 0.0 μB/f.u.
DFT formation energy = 1.354 eV per atom


This record from Alexandria describes LaCdNiAu after structural relaxation. The functional is PBE.

abc: 4.9672 4.9672 4.9672
angles: 60.00 60.00 60.00
Fractional positions:
La 0.0000 0.0000 0.0000
Cd 0.5000 0.5000 0.5000
Ni 0.7500 0.7500 0.7500
Au 0.2500 0.2500 0.2500

Fermi-level density of states = 3.11 states/eV/f.u.
SG = F-43m, No. 216
magnetic moment = 0.0 μB/f.u.
DFT formation energy = -0.354 eV per atom


This record from Alexandria describes La2CdAuO5 after structural relaxation. The functional is PBE.

abc: 7.0685 7.0685 5.8805
angles: 90.00 90.00 90.00
Fractional positions:
La 0.1807 0.3193 0.0000
La 0.3193 0.8193 0.0000
La 0.6807 0.1807 0.0000
La 0.8193 0.6807 0.0000
Cd 0.0000 0.0000 0.5000
Cd 0.5000 0.5000 0.5000
Au 0.0000 0.5000 0.5000
Au 0.5000 0.0000 0.5000
O 0.0000 0.0000 0.0000
O 0.1326 0.6326 0.2421
O 0.1326 0.6326 0.7579
O 0.3674 0.1326 0.2421
O 0.3674 0.1326 0.7579
O 0.5000 0.5000 0.0000
O 0.6326 0.8674 0.2421
O 0.6326 0.8674 0.7579
O 0.8674 0.3674 0.2421
O 0.8674 0.3674 0.7579

Fermi-level density of states = 3.19 states/eV/f.u.
total energy = -6.22 eV/atom
SG = P4/mbm, No. 127
magnetic moment = 0.0 μB/f.u.